DFT (PBE-GGA) results for crystalline CuTe4Au3 at its relaxed geometry.

Summary:
- Total magnetic moment: 0.00 μB per cell
- Space-group type: No. 31
- Uncorrected formation energy: 0.00 eV/atom
- Volume: 29.42 Å³ per atom

a = 8.633 Å, b = 7.352 Å, c = 7.417 Å
α = 90.00°, β = 90.00°, γ = 90.00°
Positions (direct):
Cu 0.000 0.170 0.000
Cu 0.500 0.830 0.500
Te 0.000 0.172 0.343
Te 0.000 0.847 0.872
Te 0.242 0.324 0.872
Te 0.258 0.676 0.372
Te 0.500 0.153 0.372
Te 0.500 0.828 0.843
Te 0.742 0.676 0.372
Te 0.758 0.324 0.872
Au 0.000 0.843 0.508
Au 0.248 0.331 0.508
Au 0.252 0.669 0.008
Au 0.500 0.157 0.008
Au 0.748 0.669 0.008
Au 0.752 0.331 0.508

=====

DFT (PBE-GGA) results for crystalline Cu2Te2Au at its relaxed geometry.

Summary:
- Total magnetic moment: 0.00 μB per cell
- Space-group type: No. 139
- E above lowest polymorph: 0.00 eV per formula unit
- Uncorrected formation energy: 0.16 eV/atom
- Volume: 20.98 Å³ per atom

a = 8.045 Å, b = 8.045 Å, c = 8.045 Å
α = 153.30°, β = 153.30°, γ = 38.11°
Positions (direct):
Cu 0.250 0.750 0.500
Cu 0.750 0.250 0.500
Te 0.124 0.124 0.000
Te 0.876 0.876 0.000
Au 0.500 0.500 0.000

=====

DFT (PBE-GGA) results for crystalline Cu2TeAu at its relaxed geometry.

Summary:
- Total magnetic moment: 0.00 μB per cell
- Space-group type: No. 8
- Uncorrected formation energy: 0.14 eV/atom
- Volume: 18.46 Å³ per atom

a = 4.497 Å, b = 4.497 Å, c = 5.008 Å
α = 103.66°, β = 103.66°, γ = 49.02°
Positions (direct):
Cu 0.000 0.000 0.000
Cu 0.734 0.734 0.143
Te 0.238 0.238 0.741
Au 0.486 0.486 0.384

=====

DFT (PBE-GGA) results for crystalline Cu2Te6Au at its relaxed geometry.

Summary:
- Total magnetic moment: 0.00 μB per cell
- Space-group type: No. 15
- E above lowest polymorph: 0.16 eV per formula unit
- Uncorrected formation energy: 0.03 eV/atom
- Volume: 29.20 Å³ per atom

a = 8.620 Å, b = 8.620 Å, c = 8.035 Å
α = 101.12°, β = 101.12°, γ = 64.72°
Positions (direct):
Cu 0.189 0.272 0.308
Cu 0.272 0.189 0.808
Cu 0.728 0.811 0.192
Cu 0.811 0.728 0.692
Te 0.066 0.177 0.527
Te 0.094 0.533 0.894
Te 0.177 0.066 0.027
Te 0.261 0.542 0.431
Te 0.458 0.739 0.069
Te 0.467 0.906 0.606
Te 0.533 0.094 0.394
Te 0.542 0.261 0.931
Te 0.739 0.458 0.569
Te 0.823 0.934 0.973
Te 0.906 0.467 0.106
Te 0.934 0.823 0.473
Au 0.404 0.596 0.750
Au 0.596 0.404 0.250

=====

- What is the volume in the fourth record?
  29.20 Å³ per atom

=====

- Which value of uncorrected formation energy does entry 3 give?
  0.14 eV/atom